No. 1
Density functional theory data (PBE) for an optimized crystal structure of ErTh2Tc9.

a b c (Å): 9.4975 5.3402 9.1422
angles (deg): 90.00 104.73 90.00
With the nearest neighbours (Å) after each atom.
Space group C2/m (No. 12)
One atom of each set of equivalent atoms:
Er1 0.0000 0.0000 0.0000 [2 per cell]  10 Tc 3.02-3.35
Th1 0.1449 0.0000 0.4259 [4 per cell]  12 Tc 3.08-3.39, 3 Th 3.36-3.40
Tc1 0.0000 0.5000 0.5000 [2 per cell]  2 Tc 2.54
Tc2 0.0790 0.5000 0.2550 [4 per cell]  7 Tc 2.54-2.75
Tc3 0.1450 0.5000 0.9900 [4 per cell]  7 Tc 2.57-2.81
Tc4 0.1674 0.2280 0.7650 [8 per cell]  3 Tc 2.43-2.72

Computed properties:
ΔH_f (0 K) = -0.03 eV/atom
Magnetic moment = 0.000 μB per atom

=====

No. 2
Density functional theory data (PBE) for an optimized crystal structure of ErThTc4.

a b c (Å): 7.7069 7.7069 7.7069
angles (deg): 90.00 90.00 90.00
With the nearest neighbours (Å) after each atom.
Space group F-43m (No. 216)
One atom of each set of equivalent atoms:
Er1 0.0000 0.0000 0.0000 [4 per cell]  12 Tc 3.19, 4 Th 3.34
Th1 0.2500 0.2500 0.2500 [4 per cell]  12 Tc 3.20, 4 Er 3.34
Tc1 0.1252 0.1252 0.6252 [16 per cell]  6 Tc 2.72-2.73

Computed properties:
ΔH_f (0 K) = -0.10 eV/atom
Magnetic moment = 0.000 μB per atom

=====

No. 3
Density functional theory data (PBE) for an optimized crystal structure of Er2ThTc.

a b c (Å): 3.4397 3.4397 8.8027
angles (deg): 90.00 90.00 90.00
With the nearest neighbours (Å) after each atom.
Space group P4/mmm (No. 123)
One atom of each set of equivalent atoms:
Er1 0.0000 0.0000 0.1862 [2 per cell]  4 Tc 2.93, 1 Er 3.28
Th1 0.5000 0.5000 0.5000 [1 per cell]  4 Th 3.44, 8 Er 3.68
Tc1 0.5000 0.5000 0.0000 [1 per cell]  8 Er 2.93

Computed properties:
ΔH_f (0 K) = 0.04 eV/atom
Energy relative to the lowest polymorph listed for this composition = 0.224 eV per atom
Magnetic moment = 0.001 μB per atom

=====

No. 4
Density functional theory data (PBE) for an optimized crystal structure of Er2ThTc2.

a b c (Å): 6.1691 4.5279 9.0967
angles (deg): 90.00 108.19 90.00
With the nearest neighbours (Å) after each atom.
Space group P2_1/m (No. 11)
One atom of each set of equivalent atoms:
Er1 0.0739 0.2500 0.3725 [2 per cell]  5 Tc 2.90-3.21
Er2 0.1620 0.2500 0.9656 [2 per cell]  3 Tc 2.85
Th1 0.4905 0.2500 0.7338 [2 per cell]  5 Tc 2.71-3.03
Tc1 0.3626 0.7500 0.8694 [2 per cell]  2 Th 2.81, 1 Tc 2.83, 4 Er 2.85-2.90
Tc2 0.3834 0.7500 0.5626 [2 per cell]  3 Th 2.71-3.03, 1 Tc 2.83

Computed properties:
ΔH_f (0 K) = -0.04 eV/atom
Magnetic moment = 0.000 μB per atom

=====

No. 5
Density functional theory data (PBE) for an optimized crystal structure of ErTh2Tc.

a b c (Å): 3.8193 3.8193 30.6837
angles (deg): 90.00 90.00 120.00
With the nearest neighbours (Å) after each atom.
Space group R-3m (No. 166, hexagonal axes)
One atom of each set of equivalent atoms:
Er1 0.0000 0.0000 0.0000 [3 per cell]  2 Th 3.42, 6 Er 3.82
Th1 0.0000 0.0000 0.1115 [6 per cell]  3 Tc 2.78
Tc1 0.0000 0.0000 0.5000 [3 per cell]  6 Th 2.78

Computed properties:
ΔH_f (0 K) = 0.33 eV/atom
Energy relative to the lowest polymorph listed for this composition = 0.460 eV per atom
Magnetic moment = 0.000 μB per atom

=====

No. 6
Density functional theory data (PBE) for an optimized crystal structure of Er2Th3Tc2.

a b c (Å): 11.8862 3.9512 8.8693
angles (deg): 90.00 115.69 90.00
With the nearest neighbours (Å) after each atom.
Space group C2/m (No. 12)
One atom of each set of equivalent atoms:
Er1 0.1655 0.0000 0.3122 [4 per cell]  2 Tc 2.96
Th1 0.0000 0.5000 0.5000 [2 per cell]  4 Tc 2.94
Th2 0.1137 0.5000 0.9313 [4 per cell]  3 Tc 2.87-2.97
Tc1 0.1678 0.0000 0.7365 [4 per cell]  5 Th 2.87-2.97, 2 Er 2.96

Computed properties:
ΔH_f (0 K) = -0.13 eV/atom
Magnetic moment = 0.000 μB per atom

=====

No. 7
Density functional theory data (PBE) for an optimized crystal structure of ErTh2Tc.

a b c (Å): 3.5456 3.5456 8.5970
angles (deg): 90.00 90.00 90.00
With the nearest neighbours (Å) after each atom.
Space group P4/mmm (No. 123)
One atom of each set of equivalent atoms:
Er1 0.0000 0.0000 0.0000 [1 per cell]  4 Er 3.55, 8 Th 3.55
Th1 0.5000 0.5000 0.2926 [2 per cell]  4 Tc 3.08
Tc1 0.0000 0.0000 0.5000 [1 per cell]  8 Th 3.08

Computed properties:
ΔH_f (0 K) = 0.02 eV/atom
Energy relative to the lowest polymorph listed for this composition = 0.144 eV per atom
Magnetic moment = 0.000 μB per atom

=====

No. 8
Density functional theory data (PBE) for an optimized crystal structure of ErThTc2.

a b c (Å): 3.4818 3.4818 6.9153
angles (deg): 90.00 90.00 90.00
With the nearest neighbours (Å) after each atom.
Space group P4/mmm (No. 123)
One atom of each set of equivalent atoms:
Er1 0.0000 0.0000 0.0000 [1 per cell]  8 Tc 3.07
Th1 0.0000 0.0000 0.5000 [1 per cell]  8 Tc 2.95
Tc1 0.5000 0.5000 0.2647 [2 per cell]  4 Th 2.95, 4 Er 3.07, 1 Tc 3.25

Computed properties:
ΔH_f (0 K) = -0.02 eV/atom
Energy relative to the lowest polymorph listed for this composition = 0.035 eV per atom
Magnetic moment = 0.000 μB per atom

=====

No. 9
Density functional theory data (PBE) for an optimized crystal structure of ErThTc2.

a b c (Å): 3.4522 3.4522 25.2694
angles (deg): 90.00 90.00 120.00
With the nearest neighbours (Å) after each atom.
Space group R-3m (No. 166, hexagonal axes)
One atom of each set of equivalent atoms:
Er1 0.0000 0.0000 0.0000 [3 per cell]  6 Tc 2.98
Th1 0.0000 0.0000 0.5000 [3 per cell]  6 Tc 2.82
Tc1 0.0000 0.0000 0.2456 [6 per cell]  3 Th 2.82, 3 Er 2.98

Computed properties:
ΔH_f (0 K) = 0.24 eV/atom
Energy relative to the lowest polymorph listed for this composition = 0.295 eV per atom
Magnetic moment = 0.000 μB per atom

=====

No. 10
Density functional theory data (PBE) for an optimized crystal structure of Er2ThTc.

a b c (Å): 3.3688 3.3688 32.7435
angles (deg): 90.00 90.00 120.00
With the nearest neighbours (Å) after each atom.
Space group R-3m (No. 166, hexagonal axes)
One atom of each set of equivalent atoms:
Er1 0.0000 0.0000 0.1046 [6 per cell]  3 Tc 2.81
Th1 0.0000 0.0000 0.0000 [3 per cell]  6 Th 3.37, 2 Er 3.42
Tc1 0.0000 0.0000 0.5000 [3 per cell]  6 Er 2.81

Computed properties:
ΔH_f (0 K) = 0.26 eV/atom
Energy relative to the lowest polymorph listed for this composition = 0.444 eV per atom
Magnetic moment = 0.000 μB per atom

=====

No. 11
Density functional theory data (PBE) for an optimized crystal structure of ErTh3Tc.

a b c (Å): 10.4401 5.4465 10.1711
angles (deg): 90.00 90.00 90.00
With the nearest neighbours (Å) after each atom.
Space group Pnma (No. 62)
One atom of each set of equivalent atoms:
Er1 0.2109 0.2500 0.0177 [4 per cell]  3 Tc 3.38-3.52, 9 Th 3.39-3.78
Th1 0.0499 0.2500 0.4404 [4 per cell]  1 Tc 2.77
Th2 0.0929 0.7500 0.2198 [4 per cell]  2 Tc 2.63-2.76
Th3 0.1459 0.7500 0.8304 [4 per cell]  2 Tc 3.08, 2 Th 3.37-3.43, 2 Er 3.39
Tc1 0.1565 0.2500 0.6900 [4 per cell]  3 Th 2.63-2.77

Computed properties:
ΔH_f (0 K) = 0.01 eV/atom
Magnetic moment = 0.000 μB per atom

=====

No. 12
Density functional theory data (PBE) for an optimized crystal structure of Er2Th2Tc.

a b c (Å): 4.6433 5.5401 11.6678
angles (deg): 89.98 78.53 89.99
With the nearest neighbours (Å) after each atom.
Space group P-1 (No. 2)
One atom of each set of equivalent atoms:
Er1 0.0653 0.2342 0.3688 [2 per cell]  2 Tc 2.98
Er2 0.3071 0.0062 0.8853 [2 per cell]  1 Tc 2.77
Th1 0.1957 0.5310 0.1086 [2 per cell]  2 Tc 2.79
Th2 0.4503 0.2570 0.6000 [2 per cell]  1 Tc 2.57
Tc1 0.3677 0.5719 0.7652 [2 per cell]  3 Th 2.57-2.79, 1 Er 2.77

Computed properties:
ΔH_f (0 K) = -0.01 eV/atom
Magnetic moment = 0.000 μB per atom

=====

- What is the ΔH_f (0 K) in the twelfth record?
  -0.01 eV/atom